## P
## SiC2 (PBE)

Data for a relaxed SiC2 crystal.

* SG: P4/nmm (129)
* M_tot: 0.00 μB/cell

Structure (CIF):
```
data_SiC2
_cell_length_a 3.145
_cell_length_b 3.145
_cell_length_c 5.995
_cell_angle_alpha 90.00
_cell_angle_beta 90.00
_cell_angle_gamma 90.00
_symmetry_space_group_name_H-M 'P 1'
_symmetry_Int_Tables_number 1
loop_
_symmetry_equiv_pos_as_xyz
'x,y,z'
loop_
_atom_site_label
_atom_site_fract_x
_atom_site_fract_y
_atom_site_fract_z
C1 0.500 0.000 0.508
Si1 0.500 0.000 0.810
C2 0.500 0.500 0.000
Si2 0.000 0.500 0.190
C3 0.000 0.000 0.000
C4 0.000 0.500 0.492
```


## Q
## SiC2 (PBE)

Data for a relaxed SiC2 crystal.

* SG: Cmmm (65)
* M_tot: 0.00 μB/cell

Structure (CIF):
```
data_SiC2
_cell_length_a 6.792
_cell_length_b 6.792
_cell_length_c 3.129
_cell_angle_alpha 90.00
_cell_angle_beta 90.00
_cell_angle_gamma 154.72
_symmetry_space_group_name_H-M 'P 1'
_symmetry_Int_Tables_number 1
loop_
_symmetry_equiv_pos_as_xyz
'x,y,z'
loop_
_atom_site_label
_atom_site_fract_x
_atom_site_fract_y
_atom_site_fract_z
C1 0.716 0.284 0.000
C2 0.051 0.949 0.500
Si1 0.368 0.632 0.500
C3 0.949 0.051 0.500
C4 0.284 0.716 0.000
Si2 0.632 0.368 0.500
```


Last place for stability: P


## P
## SiC2 (PBE)

Data for a relaxed SiC2 crystal.

* SG: P-62m (189)
* M_tot: 0.00 μB/cell

Structure (CIF):
```
data_SiC2
_cell_length_a 6.788
_cell_length_b 6.788
_cell_length_c 2.490
_cell_angle_alpha 90.00
_cell_angle_beta 90.00
_cell_angle_gamma 120.00
_symmetry_space_group_name_H-M 'P 1'
_symmetry_Int_Tables_number 1
loop_
_symmetry_equiv_pos_as_xyz
'x,y,z'
loop_
_atom_site_label
_atom_site_fract_x
_atom_site_fract_y
_atom_site_fract_z
C1 0.384 0.384 0.000
Si1 0.333 0.667 0.000
C2 0.000 0.616 0.000
C3 0.723 0.000 0.500
C4 0.277 0.277 0.500
Si2 0.667 0.333 0.000
Si3 0.000 0.000 0.500
C5 0.000 0.723 0.500
C6 0.616 0.000 0.000
```


## Q
## SiC2 (PBE)

Data for a relaxed SiC2 crystal.

* SG: I4_1/amd (141)
* M_tot: 0.00 μB/cell

Structure (CIF):
```
data_SiC2
_cell_length_a 4.335
_cell_length_b 4.335
_cell_length_c 4.335
_cell_angle_alpha 128.63
_cell_angle_beta 128.63
_cell_angle_gamma 75.61
_symmetry_space_group_name_H-M 'P 1'
_symmetry_Int_Tables_number 1
loop_
_symmetry_equiv_pos_as_xyz
'x,y,z'
loop_
_atom_site_label
_atom_site_fract_x
_atom_site_fract_y
_atom_site_fract_z
C1 0.389 0.389 0.000
C2 0.361 0.861 0.500
Si1 0.000 0.000 0.000
C3 0.611 0.611 0.000
C4 0.139 0.639 0.500
Si2 0.750 0.250 0.500
```


Last place for stability: Q


## P
## SiC2 (PBE)

Data for a relaxed SiC2 crystal.

* SG: P4_2/mmc (131)
* M_tot: 0.00 μB/cell

Structure (CIF):
```
data_SiC2
_cell_length_a 3.183
_cell_length_b 3.183
_cell_length_c 6.886
_cell_angle_alpha 90.00
_cell_angle_beta 90.00
_cell_angle_gamma 90.00
_symmetry_space_group_name_H-M 'P 1'
_symmetry_Int_Tables_number 1
loop_
_symmetry_equiv_pos_as_xyz
'x,y,z'
loop_
_atom_site_label
_atom_site_fract_x
_atom_site_fract_y
_atom_site_fract_z
C1 0.500 0.000 0.901
C2 0.000 0.500 0.599
C3 0.500 0.000 0.099
C4 0.000 0.500 0.401
Si1 0.000 0.000 0.250
Si2 0.000 0.000 0.750
```


## Q
## SiC2 (PBE)

Data for a relaxed SiC2 crystal.

* SG: P4/mmm (123)
* M_tot: 0.00 μB/cell

Structure (CIF):
```
data_SiC2
_cell_length_a 2.788
_cell_length_b 2.788
_cell_length_c 3.764
_cell_angle_alpha 90.00
_cell_angle_beta 90.00
_cell_angle_gamma 90.00
_symmetry_space_group_name_H-M 'P 1'
_symmetry_Int_Tables_number 1
loop_
_symmetry_equiv_pos_as_xyz
'x,y,z'
loop_
_atom_site_label
_atom_site_fract_x
_atom_site_fract_y
_atom_site_fract_z
C1 0.000 0.000 0.500
Si1 0.000 0.000 0.000
C2 0.500 0.500 0.000
```


## R
## SiC2 (PBE)

Data for a relaxed SiC2 crystal.

* SG: Pnnm (58)
* M_tot: 0.00 μB/cell

Structure (CIF):
```
data_SiC2
_cell_length_a 2.879
_cell_length_b 3.934
_cell_length_c 4.745
_cell_angle_alpha 90.00
_cell_angle_beta 90.00
_cell_angle_gamma 90.00
_symmetry_space_group_name_H-M 'P 1'
_symmetry_Int_Tables_number 1
loop_
_symmetry_equiv_pos_as_xyz
'x,y,z'
loop_
_atom_site_label
_atom_site_fract_x
_atom_site_fract_y
_atom_site_fract_z
C1 0.000 0.869 0.407
C2 0.500 0.369 0.093
C3 0.000 0.131 0.593
C4 0.500 0.631 0.907
Si1 0.000 0.000 0.000
Si2 0.500 0.500 0.500
```


## S
## SiC2 (PBE)

Data for a relaxed SiC2 crystal.

* SG: P-6m2 (187)
* M_tot: 0.00 μB/cell

Structure (CIF):
```
data_SiC2
_cell_length_a 2.874
_cell_length_b 2.874
_cell_length_c 3.811
_cell_angle_alpha 90.00
_cell_angle_beta 90.00
_cell_angle_gamma 120.00
_symmetry_space_group_name_H-M 'P 1'
_symmetry_Int_Tables_number 1
loop_
_symmetry_equiv_pos_as_xyz
'x,y,z'
loop_
_atom_site_label
_atom_site_fract_x
_atom_site_fract_y
_atom_site_fract_z
C1 0.000 0.000 0.824
Si1 0.333 0.667 0.500
C2 0.000 0.000 0.176
```


Last place for stability: Q


## P
## SiC2 (PBE)

Data for a relaxed SiC2 crystal.

* SG: P6_3/mmc (194)
* M_tot: 0.00 μB/cell

Structure (CIF):
```
data_SiC2
_cell_length_a 3.991
_cell_length_b 3.991
_cell_length_c 9.772
_cell_angle_alpha 90.00
_cell_angle_beta 90.00
_cell_angle_gamma 120.00
_symmetry_space_group_name_H-M 'P 1'
_symmetry_Int_Tables_number 1
loop_
_symmetry_equiv_pos_as_xyz
'x,y,z'
loop_
_atom_site_label
_atom_site_fract_x
_atom_site_fract_y
_atom_site_fract_z
C1 0.122 0.244 0.750
Si1 0.667 0.333 0.380
Si2 0.333 0.667 0.880
Si3 0.333 0.667 0.620
C2 0.756 0.878 0.750
C3 0.122 0.878 0.750
C4 0.878 0.756 0.250
C5 0.244 0.122 0.250
C6 0.000 0.000 0.500
C7 0.000 0.000 0.000
Si4 0.667 0.333 0.120
C8 0.878 0.122 0.250
```


## Q
## SiC2 (PBE)

Data for a relaxed SiC2 crystal.

* SG: F222 (22)
* M_tot: 0.00 μB/cell

Structure (CIF):
```
data_SiC2
_cell_length_a 4.853
_cell_length_b 3.519
_cell_length_c 7.350
_cell_angle_alpha 90.00
_cell_angle_beta 90.00
_cell_angle_gamma 90.00
_symmetry_space_group_name_H-M 'P 1'
_symmetry_Int_Tables_number 1
loop_
_symmetry_equiv_pos_as_xyz
'x,y,z'
loop_
_atom_site_label
_atom_site_fract_x
_atom_site_fract_y
_atom_site_fract_z
C1 0.000 0.500 0.407
C2 0.000 0.000 0.907
C3 0.500 0.000 0.593
Si1 0.750 0.250 0.250
C4 0.000 0.500 0.593
Si2 0.250 0.250 0.750
C5 0.500 0.500 0.093
Si3 0.750 0.750 0.750
C6 0.500 0.500 0.907
C7 0.500 0.000 0.407
Si4 0.250 0.750 0.250
C8 0.000 0.000 0.093
```


## R
## SiC2 (PBE)

Data for a relaxed SiC2 crystal.

* SG: R-3m (166)
* M_tot: 0.00 μB/cell

Structure (CIF):
```
data_SiC2
_cell_length_a 3.791
_cell_length_b 3.791
_cell_length_c 3.791
_cell_angle_alpha 46.26
_cell_angle_beta 46.26
_cell_angle_gamma 46.26
_symmetry_space_group_name_H-M 'P 1'
_symmetry_Int_Tables_number 1
loop_
_symmetry_equiv_pos_as_xyz
'x,y,z'
loop_
_atom_site_label
_atom_site_fract_x
_atom_site_fract_y
_atom_site_fract_z
C1 0.766 0.766 0.766
C2 0.234 0.234 0.234
Si1 0.000 0.000 0.000
```


## S
## SiC2 (PBE)

Data for a relaxed SiC2 crystal.

* SG: Cm (8)
* M_tot: 0.00 μB/cell

Structure (CIF):
```
data_SiC2
_cell_length_a 3.017
_cell_length_b 2.502
_cell_length_c 8.498
_cell_angle_alpha 90.00
_cell_angle_beta 110.59
_cell_angle_gamma 90.00
_symmetry_space_group_name_H-M 'P 1'
_symmetry_Int_Tables_number 1
loop_
_symmetry_equiv_pos_as_xyz
'x,y,z'
loop_
_atom_site_label
_atom_site_fract_x
_atom_site_fract_y
_atom_site_fract_z
C1 0.528 0.000 0.580
Si1 0.858 0.000 0.410
C2 0.617 0.500 0.672
Si2 0.858 0.500 0.910
C3 0.617 0.000 0.172
C4 0.528 0.500 0.080
```


Last place for stability: R


## P
## Si4C3 (PBE)

Data for a relaxed Si4C3 crystal.

* SG: I4/mmm (139)
* M_tot: 0.00 μB/cell

Structure (CIF):
```
data_Si4C3
_cell_length_a 9.190
_cell_length_b 9.190
_cell_length_c 9.190
_cell_angle_alpha 162.43
_cell_angle_beta 162.43
_cell_angle_gamma 24.95
_symmetry_space_group_name_H-M 'P 1'
_symmetry_Int_Tables_number 1
loop_
_symmetry_equiv_pos_as_xyz
'x,y,z'
loop_
_atom_site_label
_atom_site_fract_x
_atom_site_fract_y
_atom_site_fract_z
Si1 0.808 0.808 0.000
Si2 0.433 0.433 0.000
Si3 0.192 0.192 0.000
C1 0.000 0.000 0.000
C2 0.689 0.689 0.000
C3 0.311 0.311 0.000
Si4 0.567 0.567 0.000
```


## Q
## Si4C3 (PBE)

Data for a relaxed Si4C3 crystal.

* SG: P-43m (215)
* M_tot: 0.00 μB/cell

Structure (CIF):
```
data_Si4C3
_cell_length_a 4.361
_cell_length_b 4.361
_cell_length_c 4.361
_cell_angle_alpha 90.00
_cell_angle_beta 90.00
_cell_angle_gamma 90.00
_symmetry_space_group_name_H-M 'P 1'
_symmetry_Int_Tables_number 1
loop_
_symmetry_equiv_pos_as_xyz
'x,y,z'
loop_
_atom_site_label
_atom_site_fract_x
_atom_site_fract_y
_atom_site_fract_z
Si1 0.752 0.248 0.248
C1 0.500 0.500 0.000
C2 0.000 0.500 0.500
C3 0.500 0.000 0.500
Si2 0.248 0.752 0.248
Si3 0.248 0.248 0.752
Si4 0.752 0.752 0.752
```


Last place for stability: P


## P
## Si4C3 (PBE)

Data for a relaxed Si4C3 crystal.

* SG: Pm-3m (221)
* M_tot: 0.00 μB/cell

Structure (CIF):
```
data_Si4C3
_cell_length_a 4.068
_cell_length_b 4.068
_cell_length_c 4.068
_cell_angle_alpha 90.00
_cell_angle_beta 90.00
_cell_angle_gamma 90.00
_symmetry_space_group_name_H-M 'P 1'
_symmetry_Int_Tables_number 1
loop_
_symmetry_equiv_pos_as_xyz
'x,y,z'
loop_
_atom_site_label
_atom_site_fract_x
_atom_site_fract_y
_atom_site_fract_z
Si1 0.500 0.500 0.000
Si2 0.500 0.000 0.500
C1 0.000 0.500 0.000
C2 0.000 0.000 0.500
Si3 0.000 0.500 0.500
C3 0.500 0.000 0.000
Si4 0.000 0.000 0.000
```


## Q
## Si4C3 (PBE)

Data for a relaxed Si4C3 crystal.

* SG: P6/mmm (191)
* M_tot: 0.00 μB/cell

Structure (CIF):
```
data_Si4C3
_cell_length_a 3.762
_cell_length_b 3.762
_cell_length_c 7.057
_cell_angle_alpha 90.00
_cell_angle_beta 90.00
_cell_angle_gamma 120.00
_symmetry_space_group_name_H-M 'P 1'
_symmetry_Int_Tables_number 1
loop_
_symmetry_equiv_pos_as_xyz
'x,y,z'
loop_
_atom_site_label
_atom_site_fract_x
_atom_site_fract_y
_atom_site_fract_z
Si1 0.000 0.000 0.198
C1 0.000 0.500 0.000
Si2 0.000 0.000 0.802
C2 0.500 0.500 0.000
Si3 0.667 0.333 0.500
C3 0.500 0.000 0.000
Si4 0.333 0.667 0.500
```


Last place for stability: Q


## P
## SiC5 (PBE)

Data for a relaxed SiC5 crystal.

* SG: Amm2 (38)
* M_tot: 0.00 μB/cell

Structure (CIF):
```
data_SiC5
_cell_length_a 4.585
_cell_length_b 4.585
_cell_length_c 3.293
_cell_angle_alpha 90.00
_cell_angle_beta 90.00
_cell_angle_gamma 99.34
_symmetry_space_group_name_H-M 'P 1'
_symmetry_Int_Tables_number 1
loop_
_symmetry_equiv_pos_as_xyz
'x,y,z'
loop_
_atom_site_label
_atom_site_fract_x
_atom_site_fract_y
_atom_site_fract_z
C1 0.384 0.384 0.500
C2 0.705 0.705 0.000
Si1 0.008 0.008 0.000
C3 0.144 0.144 0.500
C4 0.466 0.466 0.000
C5 0.626 0.626 0.500
```


## Q
## SiC5 (PBE)

Data for a relaxed SiC5 crystal.

* SG: Amm2 (38)
* M_tot: 0.00 μB/cell

Structure (CIF):
```
data_SiC5
_cell_length_a 5.992
_cell_length_b 5.992
_cell_length_c 2.558
_cell_angle_alpha 90.00
_cell_angle_beta 90.00
_cell_angle_gamma 141.91
_symmetry_space_group_name_H-M 'P 1'
_symmetry_Int_Tables_number 1
loop_
_symmetry_equiv_pos_as_xyz
'x,y,z'
loop_
_atom_site_label
_atom_site_fract_x
_atom_site_fract_y
_atom_site_fract_z
Si1 0.214 0.786 0.500
C1 0.640 0.360 0.500
C2 0.569 0.431 0.000
C3 0.438 0.562 0.000
C4 0.094 0.906 0.000
C5 0.379 0.621 0.500
```


Last place for stability: P


## P
## SiC5 (PBE)

Data for a relaxed SiC5 crystal.

* SG: P6/mmm (191)
* M_tot: 0.00 μB/cell

Structure (CIF):
```
data_SiC5
_cell_length_a 4.708
_cell_length_b 4.708
_cell_length_c 2.389
_cell_angle_alpha 90.00
_cell_angle_beta 90.00
_cell_angle_gamma 120.00
_symmetry_space_group_name_H-M 'P 1'
_symmetry_Int_Tables_number 1
loop_
_symmetry_equiv_pos_as_xyz
'x,y,z'
loop_
_atom_site_label
_atom_site_fract_x
_atom_site_fract_y
_atom_site_fract_z
C1 0.667 0.333 0.000
C2 0.000 0.500 0.500
C3 0.333 0.667 0.000
C4 0.500 0.000 0.500
Si1 0.000 0.000 0.000
C5 0.500 0.500 0.500
```


## Q
## SiC5 (PBE)

Data for a relaxed SiC5 crystal.

* SG: Cm (8)
* M_tot: 0.00 μB/cell

Structure (CIF):
```
data_SiC5
_cell_length_a 3.738
_cell_length_b 3.738
_cell_length_c 6.069
_cell_angle_alpha 89.10
_cell_angle_beta 89.10
_cell_angle_gamma 43.03
_symmetry_space_group_name_H-M 'P 1'
_symmetry_Int_Tables_number 1
loop_
_symmetry_equiv_pos_as_xyz
'x,y,z'
loop_
_atom_site_label
_atom_site_fract_x
_atom_site_fract_y
_atom_site_fract_z
C1 0.827 0.827 0.308
C2 0.652 0.652 0.689
C3 0.446 0.446 0.643
C4 0.807 0.807 0.102
Si1 0.260 0.260 0.884
C5 0.841 0.841 0.541
```


## R
## SiC5 (PBE)

Data for a relaxed SiC5 crystal.

* SG: P4/mmm (123)
* M_tot: 0.00 μB/cell

Structure (CIF):
```
data_SiC5
_cell_length_a 3.424
_cell_length_b 3.424
_cell_length_c 5.310
_cell_angle_alpha 90.00
_cell_angle_beta 90.00
_cell_angle_gamma 90.00
_symmetry_space_group_name_H-M 'P 1'
_symmetry_Int_Tables_number 1
loop_
_symmetry_equiv_pos_as_xyz
'x,y,z'
loop_
_atom_site_label
_atom_site_fract_x
_atom_site_fract_y
_atom_site_fract_z
C1 0.500 0.500 0.620
C2 0.000 0.000 0.878
C3 0.000 0.000 0.122
Si1 0.500 0.500 0.000
C4 0.000 0.000 0.500
C5 0.500 0.500 0.380
```


Last place for stability: P


## P
## Si3C4 (PBE)

Data for a relaxed Si3C4 crystal.

* SG: P-43m (215)
* M_tot: 0.00 μB/cell

Structure (CIF):
```
data_Si3C4
_cell_length_a 4.416
_cell_length_b 4.416
_cell_length_c 4.416
_cell_angle_alpha 90.00
_cell_angle_beta 90.00
_cell_angle_gamma 90.00
_symmetry_space_group_name_H-M 'P 1'
_symmetry_Int_Tables_number 1
loop_
_symmetry_equiv_pos_as_xyz
'x,y,z'
loop_
_atom_site_label
_atom_site_fract_x
_atom_site_fract_y
_atom_site_fract_z
C1 0.727 0.273 0.273
Si1 0.500 0.000 0.500
Si2 0.000 0.500 0.500
C2 0.273 0.727 0.273
Si3 0.500 0.500 0.000
C3 0.273 0.273 0.727
C4 0.727 0.727 0.727
```


## Q
## Si3C4 (PBE)

Data for a relaxed Si3C4 crystal.

* SG: I4/mmm (139)
* M_tot: 0.00 μB/cell

Structure (CIF):
```
data_Si3C4
_cell_length_a 8.123
_cell_length_b 8.123
_cell_length_c 8.123
_cell_angle_alpha 160.22
_cell_angle_beta 160.22
_cell_angle_gamma 28.11
_symmetry_space_group_name_H-M 'P 1'
_symmetry_Int_Tables_number 1
loop_
_symmetry_equiv_pos_as_xyz
'x,y,z'
loop_
_atom_site_label
_atom_site_fract_x
_atom_site_fract_y
_atom_site_fract_z
C1 0.812 0.812 0.000
Si1 0.000 0.000 0.000
C2 0.188 0.188 0.000
Si2 0.679 0.679 0.000
C3 0.549 0.549 0.000
Si3 0.321 0.321 0.000
C4 0.451 0.451 0.000
```


Last place for stability: Q


## P
## Si3C4 (PBE)

Data for a relaxed Si3C4 crystal.

* SG: Pm-3m (221)
* M_tot: 0.00 μB/cell

Structure (CIF):
```
data_Si3C4
_cell_length_a 3.969
_cell_length_b 3.969
_cell_length_c 3.969
_cell_angle_alpha 90.00
_cell_angle_beta 90.00
_cell_angle_gamma 90.00
_symmetry_space_group_name_H-M 'P 1'
_symmetry_Int_Tables_number 1
loop_
_symmetry_equiv_pos_as_xyz
'x,y,z'
loop_
_atom_site_label
_atom_site_fract_x
_atom_site_fract_y
_atom_site_fract_z
Si1 0.000 0.500 0.000
C1 0.000 0.500 0.500
C2 0.500 0.500 0.000
C3 0.500 0.000 0.500
Si2 0.500 0.000 0.000
Si3 0.000 0.000 0.500
C4 0.000 0.000 0.000
```


## Q
## Si3C4 (PBE)

Data for a relaxed Si3C4 crystal.

* SG: P6/mmm (191)
* M_tot: 0.00 μB/cell

Structure (CIF):
```
data_Si3C4
_cell_length_a 5.296
_cell_length_b 5.296
_cell_length_c 2.733
_cell_angle_alpha 90.00
_cell_angle_beta 90.00
_cell_angle_gamma 120.00
_symmetry_space_group_name_H-M 'P 1'
_symmetry_Int_Tables_number 1
loop_
_symmetry_equiv_pos_as_xyz
'x,y,z'
loop_
_atom_site_label
_atom_site_fract_x
_atom_site_fract_y
_atom_site_fract_z
Si1 0.000 0.500 0.000
C1 0.000 0.000 0.257
Si2 0.500 0.500 0.000
C2 0.667 0.333 0.500
C3 0.333 0.667 0.500
C4 0.000 0.000 0.743
Si3 0.500 0.000 0.000
```


Last place for stability: Q